Entry 1:
This record from Alexandria describes a relaxed LiAgP2 crystal. The functional is GGA-PBE.

Cell: 5.7477 5.7477 5.7477 Å, 100.87 100.87 128.52°
Atoms (fractional coordinates):
Li 0.0000 0.0000 0.0000
Li 0.7500 0.2500 0.5000
Ag 0.2500 0.7500 0.5000
Ag 0.5000 0.5000 0.0000
P 0.1472 0.1250 0.5222
P 0.3750 0.8528 0.9778
P 0.6028 0.6250 0.4778
P 0.8750 0.3972 0.0222

Summary:
distance to the lowest polymorph of the same formula: 294 meV/atom
energy relative to the elements: 0.16 eV/atom
crystal system: tetragonal

***

Entry 2:
This record from Alexandria describes a relaxed ScTcSb crystal. The functional is GGA-PBE.

Cell: 4.5526 4.5526 4.5526 Å, 60.00 60.00 60.00°
Atoms (fractional coordinates):
Sc 0.0000 0.0000 0.0000
Tc 0.2500 0.2500 0.2500
Sb 0.7500 0.7500 0.7500

Summary:
distance to the lowest polymorph of the same formula: 654 meV/atom
crystal system: cubic
E_form (uncorrected): 0.36 eV per atom

***

Entry 3:
This record from Alexandria describes a relaxed LiAcNp4N8 crystal. The functional is GGA-PBE.

Cell: 6.6460 6.6460 6.6460 Å, 63.12 63.12 63.12°
Atoms (fractional coordinates):
Li 0.0000 0.0000 0.0000
Ac 0.6185 0.6185 0.6185
Np 0.0074 0.0074 0.5139
Np 0.0074 0.5139 0.0074
Np 0.3906 0.3906 0.3906
Np 0.5139 0.0074 0.0074
N 0.1832 0.7756 0.7756
N 0.2485 0.2485 0.2485
N 0.2715 0.2715 0.7917
N 0.2715 0.7917 0.2715
N 0.7756 0.1832 0.7756
N 0.7756 0.7756 0.1832
N 0.7766 0.7766 0.7766
N 0.7917 0.2715 0.2715

Summary:
crystal system: trigonal
E_form (uncorrected): -0.96 eV per atom

***

Entry 4:
This record from Alexandria describes a relaxed BaCdSe2 crystal. The functional is GGA-PBE.

Cell: 4.1012 4.1012 7.8980 Å, 90.00 90.00 113.42°
Atoms (fractional coordinates):
Ba 0.0000 0.0000 0.0000
Cd 0.0000 0.0000 0.5000
Se 0.5000 0.5000 0.2754
Se 0.5000 0.5000 0.7246

Summary:
crystal system: orthorhombic
E_form (uncorrected): -0.94 eV per atom

***

Entry 5:
This record from Alexandria describes a relaxed Sc3TiAs4 crystal. The functional is GGA-PBE.

Cell: 6.6138 6.6138 3.8194 Å, 90.00 90.00 109.31°
Atoms (fractional coordinates):
Sc 0.0000 0.0000 0.0000
Sc 0.0000 0.5000 0.5000
Sc 0.5000 0.0000 0.5000
Ti 0.5000 0.5000 0.0000
As 0.2548 0.7452 0.0000
As 0.2592 0.2592 0.5000
As 0.7408 0.7408 0.5000
As 0.7452 0.2548 0.0000

Summary:
energy relative to the elements: -1.24 eV/atom
crystal system: orthorhombic

***

Entry 6:
This record from Alexandria describes a relaxed Ge2AuSe2 crystal. The functional is GGA-PBE.

Cell: 11.5567 11.5567 6.2306 Å, 102.63 102.63 18.08°
Atoms (fractional coordinates):
Ge 0.1284 0.1284 0.4196
Ge 0.3063 0.3063 0.0544
Ge 0.6937 0.6937 0.9456
Ge 0.8716 0.8716 0.5804
Au 0.2289 0.2289 0.3073
Au 0.7711 0.7711 0.6927
Se 0.1161 0.1161 0.8113
Se 0.4395 0.4395 0.7233
Se 0.5605 0.5605 0.2767
Se 0.8839 0.8839 0.1887

Summary:
distance to the lowest polymorph of the same formula: 0 meV/atom
crystal system: monoclinic
E_form (uncorrected): -0.14 eV per atom

***

Entry 7:
This record from Alexandria describes a relaxed VOs3Pb crystal. The functional is GGA-PBE.

Cell: 4.9170 4.9170 4.9170 Å, 90.00 90.00 90.00°
Atoms (fractional coordinates):
V 0.0000 0.0000 0.0000
Os 0.0000 0.5000 0.5000
Os 0.5000 0.0000 0.5000
Os 0.5000 0.5000 0.0000
Pb 0.5000 0.5000 0.5000

Summary:
distance to the lowest polymorph of the same formula: 1518 meV/atom
energy relative to the elements: 3.11 eV/atom
crystal system: cubic

***

Entry 8:
This record from Alexandria describes a relaxed BiTe2Pd7Pb2 crystal. The functional is GGA-PBE.

Cell: 4.1547 4.1547 15.1617 Å, 94.46 94.46 89.30°
Atoms (fractional coordinates):
Bi 0.0000 0.0000 0.0000
Te 0.4318 0.4318 0.7527
Te 0.5682 0.5682 0.2473
Pd 0.0376 0.5391 0.1376
Pd 0.3743 0.3743 0.5731
Pd 0.4609 0.9624 0.8624
Pd 0.5000 0.5000 0.0000
Pd 0.5391 0.0376 0.1376
Pd 0.6257 0.6257 0.4269
Pd 0.9624 0.4609 0.8624
Pb 0.1226 0.1226 0.3999
Pb 0.8774 0.8774 0.6001

Summary:
crystal system: monoclinic
E_form (uncorrected): -0.24 eV per atom

***

Entry 9:
This record from Alexandria describes a relaxed La4SbTe2Se crystal. The functional is GGA-PBE.

Cell: 7.8187 4.5132 7.8961 Å, 90.00 109.22 90.00°
Atoms (fractional coordinates):
La 0.2354 0.0000 0.2309
La 0.2457 0.5000 0.7628
La 0.7543 0.5000 0.2372
La 0.7646 0.0000 0.7691
Sb 0.5000 0.0000 0.0000
Te 0.0000 0.0000 0.5000
Te 0.5000 0.5000 0.5000
Se 0.0000 0.5000 0.0000

Summary:
crystal system: monoclinic
E_form (uncorrected): -1.63 eV per atom

***

Entry 10:
This record from Alexandria describes a relaxed SrAlReRh2 crystal. The functional is GGA-PBE.

Cell: 4.5421 4.5421 5.2255 Å, 90.00 90.00 90.00°
Atoms (fractional coordinates):
Sr 0.0000 0.0000 0.0000
Al 0.0000 0.0000 0.5000
Re 0.5000 0.5000 0.0000
Rh 0.0000 0.5000 0.5000
Rh 0.5000 0.0000 0.5000

Summary:
energy relative to the elements: 1.22 eV/atom
crystal system: tetragonal

***

Entry 11:
This record from Alexandria describes a relaxed TmCuSnHg crystal. The functional is GGA-PBE.

Cell: 4.9593 4.9593 4.9593 Å, 60.00 60.00 60.00°
Atoms (fractional coordinates):
Tm 0.0000 0.0000 0.0000
Cu 0.7500 0.7500 0.7500
Sn 0.5000 0.5000 0.5000
Hg 0.2500 0.2500 0.2500

Summary:
energy relative to the elements: -0.20 eV/atom
crystal system: cubic

***

Entry 12:
This record from Alexandria describes a relaxed K2ZrCo crystal. The functional is GGA-PBE.

Cell: 7.0003 7.0003 3.2579 Å, 102.55 102.55 130.65°
Atoms (fractional coordinates):
K 0.0000 0.5000 0.0000
K 0.5000 0.0000 0.0000
Zr 0.0000 0.0000 0.5000
Co 0.5000 0.5000 0.5000

Summary:
distance to the lowest polymorph of the same formula: 688 meV/atom
energy relative to the elements: 1.09 eV/atom
crystal system: monoclinic

***

Entry 13:
This record from Alexandria describes a relaxed MgPb2Br crystal. The functional is GGA-PBE.

Cell: 3.4830 3.4830 9.8930 Å, 90.00 90.00 90.00°
Atoms (fractional coordinates):
Mg 0.0000 0.0000 0.0000
Pb 0.0000 0.0000 0.4757
Pb 0.5000 0.5000 0.2276
Br 0.5000 0.5000 0.8462

Summary:
distance to the lowest polymorph of the same formula: 14 meV/atom
crystal system: tetragonal
E_form (uncorrected): -0.33 eV per atom

***

Entry 14:
This record from Alexandria describes a relaxed Pm5Ga2Au crystal. The functional is GGA-PBE.

Cell: 9.3535 9.3535 9.3535 Å, 131.87 131.87 70.43°
Atoms (fractional coordinates):
Pm 0.0000 0.0000 0.0000
Pm 0.0256 0.5256 0.8465
Pm 0.1791 0.0256 0.5000
Pm 0.3209 0.8209 0.8465
Pm 0.4744 0.3209 0.5000
Pm 0.5000 0.5000 0.0000
Pm 0.5256 0.6791 0.5000
Pm 0.6791 0.1791 0.1535
Pm 0.8209 0.9744 0.5000
Pm 0.9744 0.4744 0.1535
Ga 0.1184 0.3816 0.5000
Ga 0.3816 0.8816 0.2632
Ga 0.6184 0.1184 0.7368
Ga 0.8816 0.6184 0.5000
Au 0.2500 0.2500 0.0000
Au 0.7500 0.7500 0.0000

Summary:
energy relative to the elements: -0.50 eV/atom
crystal system: tetragonal

***

Entry 15:
This record from Alexandria describes a relaxed Tl2AgPbI5 crystal. The functional is GGA-PBE.

Cell: 10.5789 10.5789 15.1021 Å, 90.00 90.00 154.23°
Atoms (fractional coordinates):
Tl 0.0998 0.9002 0.5000
Tl 0.1257 0.8743 0.1496
Tl 0.8743 0.1257 0.6496
Tl 0.9002 0.0998 0.0000
Ag 0.4431 0.5569 0.2609
Ag 0.5569 0.4431 0.7609
Pb 0.2067 0.7933 0.8514
Pb 0.7933 0.2067 0.3514
I 0.0452 0.9548 0.8650
I 0.2848 0.7152 0.4999
I 0.3042 0.6958 0.2009
I 0.3606 0.6394 0.8306
I 0.4941 0.5059 0.5960
I 0.5059 0.4941 0.0960
I 0.6394 0.3606 0.3306
I 0.6958 0.3042 0.7009
I 0.7152 0.2848 0.9999
I 0.9548 0.0452 0.3650

Summary:
crystal system: orthorhombic
E_form (uncorrected): -0.56 eV per atom

***

Entry 16:
This record from Alexandria describes a relaxed CdPb3Au crystal. The functional is GGA-PBE.

Cell: 5.5917 5.5917 5.5917 Å, 90.00 90.00 90.00°
Atoms (fractional coordinates):
Cd 0.0000 0.0000 0.0000
Pb 0.0000 0.5000 0.5000
Pb 0.5000 0.0000 0.5000
Pb 0.5000 0.5000 0.0000
Au 0.5000 0.5000 0.5000

Summary:
distance to the lowest polymorph of the same formula: 0 meV/atom
energy relative to the elements: 0.30 eV/atom
crystal system: cubic

***

Entry 17:
This record from Alexandria describes a relaxed TbYPd crystal. The functional is GGA-PBE.

Cell: 7.4330 7.4330 4.8758 Å, 90.00 90.00 120.00°
Atoms (fractional coordinates):
Tb 0.0000 0.4035 0.0000
Tb 0.4035 0.0000 0.0000
Tb 0.5965 0.5965 0.0000
Y 0.0000 0.7349 0.5000
Y 0.2651 0.2651 0.5000
Y 0.7349 0.0000 0.5000
Pd 0.0000 0.0000 0.0000
Pd 0.3333 0.6667 0.5000
Pd 0.6667 0.3333 0.5000

Summary:
distance to the lowest polymorph of the same formula: 14 meV/atom
energy relative to the elements: -0.55 eV/atom
crystal system: hexagonal

***

Entry 18:
This record from Alexandria describes a relaxed Sc2Fe4Si crystal. The functional is GGA-PBE.

Cell: 6.6414 6.6414 4.7620 Å, 90.00 90.00 90.00°
Atoms (fractional coordinates):
Sc 0.1925 0.1925 0.0000
Sc 0.3075 0.6925 0.5000
Sc 0.6925 0.3075 0.5000
Sc 0.8075 0.8075 0.0000
Fe 0.0856 0.3507 0.5000
Fe 0.1493 0.5856 0.0000
Fe 0.3507 0.0856 0.5000
Fe 0.4144 0.8507 0.0000
Fe 0.5856 0.1493 0.0000
Fe 0.6493 0.9144 0.5000
Fe 0.8507 0.4144 0.0000
Fe 0.9144 0.6493 0.5000
Si 0.0000 0.0000 0.5000
Si 0.5000 0.5000 0.0000

Summary:
crystal system: tetragonal
E_form (uncorrected): 0.02 eV per atom

***

Entry 19:
This record from Alexandria describes a relaxed CuGeTeAu crystal. The functional is GGA-PBE.

Cell: 13.0162 13.0162 13.0162 Å, 17.56 17.56 17.56°
Atoms (fractional coordinates):
Cu 0.1840 0.1840 0.1840
Cu 0.8160 0.8160 0.8160
Ge 0.3898 0.3898 0.3898
Ge 0.6102 0.6102 0.6102
Te 0.1160 0.1160 0.1160
Te 0.8840 0.8840 0.8840
Au 0.3093 0.3093 0.3093
Au 0.6907 0.6907 0.6907

Summary:
crystal system: trigonal
E_form (uncorrected): 0.05 eV per atom

***

Entry 20:
This record from Alexandria describes a relaxed CrOs2Pt crystal. The functional is GGA-PBE.

Cell: 8.9539 8.9539 8.9539 Å, 17.47 17.47 17.47°
Atoms (fractional coordinates):
Cr 0.0000 0.0000 0.0000
Os 0.4957 0.4957 0.4957
Os 0.7460 0.7460 0.7460
Pt 0.2517 0.2517 0.2517

Summary:
energy relative to the elements: 0.10 eV/atom
crystal system: trigonal

***

Entry 21:
This record from Alexandria describes a relaxed YCuI crystal. The functional is GGA-PBE.

Cell: 3.9959 3.9959 13.3188 Å, 98.83 98.83 60.00°
Atoms (fractional coordinates):
Y 0.1063 0.1063 0.3235
Y 0.8937 0.8937 0.6765
Cu 0.1821 0.1821 0.5450
Cu 0.8179 0.8179 0.4550
I 0.3848 0.3848 0.1624
I 0.6152 0.6152 0.8376

Summary:
crystal system: monoclinic
E_form (uncorrected): -0.60 eV per atom

***

Entry 22:
This record from Alexandria describes a relaxed P2RuW crystal. The functional is GGA-PBE.

Cell: 3.0530 3.4479 5.4716 Å, 90.00 90.00 90.00°
Atoms (fractional coordinates):
P 0.0000 0.0000 0.2214
P 0.0000 0.0000 0.7786
Ru 0.0000 0.5000 0.5000
W 0.5000 0.5000 0.0000

Summary:
energy relative to the elements: 0.01 eV/atom
crystal system: orthorhombic

***

Entry 23:
This record from Alexandria describes a relaxed BaCr2Se crystal. The functional is GGA-PBE.

Cell: 4.5041 4.5041 5.6129 Å, 90.00 90.00 90.00°
Atoms (fractional coordinates):
Ba 0.0000 0.0000 0.0000
Cr 0.0000 0.5000 0.5000
Cr 0.5000 0.0000 0.5000
Se 0.5000 0.5000 0.0000

Summary:
crystal system: tetragonal
E_form (uncorrected): 0.38 eV per atom

***

Entry 24:
This record from Alexandria describes a relaxed Zr2Co2Pt crystal. The functional is GGA-PBE.

Cell: 6.8075 6.8075 3.4496 Å, 90.00 90.00 90.00°
Atoms (fractional coordinates):
Zr 0.1796 0.3204 0.0000
Zr 0.3204 0.8204 0.0000
Zr 0.6796 0.1796 0.0000
Zr 0.8204 0.6796 0.0000
Co 0.1219 0.6219 0.5000
Co 0.3781 0.1219 0.5000
Co 0.6219 0.8781 0.5000
Co 0.8781 0.3781 0.5000
Pt 0.0000 0.0000 0.5000
Pt 0.5000 0.5000 0.5000

Summary:
distance to the lowest polymorph of the same formula: 0 meV/atom
energy relative to the elements: -0.57 eV/atom
crystal system: tetragonal

***

Number 1: uncorrected energy -3.741 eV/atom, spin magnetization 0.000 μB/cell. Number 2: uncorrected energy -6.576 eV/atom, spin magnetization 0.000 μB/cell. Number 3: uncorrected energy -9.847 eV/atom, spin magnetization 8.000 μB/cell. Number 4: uncorrected energy -3.387 eV/atom, spin magnetization 0.000 μB/cell. Number 5: uncorrected energy -6.924 eV/atom, spin magnetization 0.000 μB/cell. Number 6: uncorrected energy -4.038 eV/atom, spin magnetization 0.000 μB/cell. Number 7: uncorrected energy -6.198 eV/atom, spin magnetization 0.675 μB/cell. Number 8: uncorrected energy -4.737 eV/atom, spin magnetization 0.000 μB/cell. Number 9: uncorrected energy -5.828 eV/atom, spin magnetization 0.000 μB/cell. Number 10: uncorrected energy -5.292 eV/atom, spin magnetization 3.830 μB/cell. Number 11: uncorrected energy -3.422 eV/atom, spin magnetization 0.000 μB/cell. Number 12: uncorrected energy -3.372 eV/atom, spin magnetization 0.571 μB/cell. Number 13: uncorrected energy -3.004 eV/atom, spin magnetization 0.000 μB/cell. Number 14: uncorrected energy -4.637 eV/atom, spin magnetization 0.000 μB/cell. Number 15: uncorrected energy -2.679 eV/atom, spin magnetization 0.000 μB/cell. Number 16: uncorrected energy -2.766 eV/atom, spin magnetization 0.000 μB/cell. Number 17: uncorrected energy -5.983 eV/atom, spin magnetization 0.000 μB/cell. Number 18: uncorrected energy -7.405 eV/atom, spin magnetization 12.958 μB/cell. Number 19: uncorrected energy -3.736 eV/atom, spin magnetization 0.000 μB/cell. Number 20: uncorrected energy -9.432 eV/atom, spin magnetization 0.002 μB/cell. Number 21: uncorrected energy -4.641 eV/atom, spin magnetization 0.000 μB/cell. Number 22: uncorrected energy -8.254 eV/atom, spin magnetization 0.000 μB/cell. Number 23: uncorrected energy -5.783 eV/atom, spin magnetization 9.900 μB/cell. Number 24: uncorrected energy -8.037 eV/atom, spin magnetization 1.839 μB/cell.